[1]
Density functional theory data (PBE) for an optimized crystal structure of Ge3BiCl9.

abc: 9.8205 9.5474 12.4319
angles: 73.20 66.74 59.05
Positions (direct):
Ge 0.7454 0.5067 0.7066
Ge 0.0412 0.0067 0.2066
Ge 0.8892 0.0009 0.8528
Ge 0.2571 0.5009 0.3528
Ge 0.5331 0.2559 0.6889
Ge 0.5221 0.7559 0.1889
Bi 0.1159 0.4804 0.0089
Bi 0.3948 0.9804 0.5089
Cl 0.3158 0.2386 0.3217
Cl 0.1239 0.7386 0.8217
Cl 0.4299 0.3365 0.9674
Cl 0.2663 0.8365 0.4674
Cl 0.0378 0.1379 0.7150
Cl 0.1093 0.6379 0.2150
Cl 0.7485 0.7072 0.0163
Cl 0.5280 0.2072 0.5163
Cl 0.6685 0.8373 0.3633
Cl 0.1309 0.3373 0.8633
Cl 0.5067 0.7850 0.6959
Cl 0.0124 0.2850 0.1959
Cl 0.5271 0.4936 0.2023
Cl 0.7770 0.9936 0.7023
Cl 0.6959 0.4096 0.5687
Cl 0.3258 0.9096 0.0687
Cl 0.9159 0.0678 0.0699
Cl 0.9464 0.5678 0.5699

Values from the calculation:
Symmetry ... No. 9
DOS(E_F) ... 0.000 states/eV/f.u.
Formation energy (no corrections) ... -0.820 eV per atom
Volume ... 35.11 A^3/atom


[2]
Density functional theory data (PBE) for an optimized crystal structure of SnHgN.

abc: 6.2553 5.5972 8.7438
angles: 121.85 118.93 33.85
Positions (direct):
Sn 0.5376 0.4668 0.4271
Sn 0.0939 0.2633 0.2207
Hg 0.5042 0.2782 0.8530
Hg 0.1001 0.1805 0.7723
N 0.0291 0.0659 0.9366
N 0.5689 0.6367 0.2848

Values from the calculation:
Symmetry ... No. 1
DOS(E_F) ... 0.577 states/eV/f.u.
Relative energy among the computed polymorphs ... 40 meV per atom
Formation energy (no corrections) ... 0.547 eV per atom
Volume ... 24.03 A^3/atom


[3]
Density functional theory data (PBE) for an optimized crystal structure of Sc3CuSn.

abc: 4.9161 4.9161 4.9161
angles: 90.00 90.00 90.00
Positions (direct):
Sc 0.0000 0.5000 0.0000
Sc 0.0000 0.0000 0.5000
Sc 0.5000 0.0000 0.0000
Sn 0.5000 0.5000 0.5000
Cu 0.0000 0.0000 0.0000

Values from the calculation:
Symmetry ... No. 221
DOS(E_F) ... 7.493 states/eV/f.u.
Relative energy among the computed polymorphs ... 140 meV per atom
Volume ... 23.76 A^3/atom
DFT formation energy ... -131 meV per atom


[4]
Density functional theory data (PBE) for an optimized crystal structure of Ga2Ni3Pt2.

abc: 3.5579 4.6803 6.1044
angles: 86.38 90.00 112.34
Positions (direct):
Ga 0.1324 0.2649 0.6109
Ga 0.8676 0.7351 0.3891
Ni 0.2958 0.5915 0.1214
Ni 0.0000 0.0000 0.0000
Ni 0.7042 0.4085 0.8786
Pt 0.5873 0.1747 0.2885
Pt 0.4127 0.8253 0.7115

Values from the calculation:
Symmetry ... No. 12
DOS(E_F) ... 7.603 states/eV/f.u.
Volume ... 13.40 A^3/atom
DFT formation energy ... -330 meV per atom


[5]
Density functional theory data (PBE) for an optimized crystal structure of NdDyHo6Er2.

abc: 9.4816 8.7462 8.7462
angles: 117.70 93.51 93.51
Positions (direct):
Nd 0.2500 0.9736 0.0264
Nd 0.7500 0.0264 0.9736
Dy 0.2500 0.4099 0.5901
Dy 0.7500 0.5901 0.4099
Ho 0.0571 0.1229 0.7508
Ho 0.4429 0.2492 0.8771
Ho 0.9429 0.8771 0.2492
Ho 0.5571 0.7508 0.1229
Ho 0.3177 0.9819 0.4347
Ho 0.1823 0.5653 0.0181
Ho 0.6823 0.0181 0.5653
Ho 0.8177 0.4347 0.9819
Ho 0.1181 0.7085 0.4904
Ho 0.3819 0.5096 0.2915
Ho 0.8819 0.2915 0.5096
Ho 0.6181 0.4904 0.7085
Er 0.4533 0.8016 0.6958
Er 0.0467 0.3042 0.1984
Er 0.5467 0.1984 0.3042
Er 0.9533 0.6958 0.8016

Values from the calculation:
Symmetry ... No. 15
DOS(E_F) ... 14.785 states/eV/f.u.
Volume ... 31.88 A^3/atom
DFT formation energy ... 122 meV per atom


[6]
Density functional theory data (PBE) for an optimized crystal structure of CrAgP2Cl.

abc: 4.7696 4.7696 4.9073
angles: 90.00 90.00 90.00
Positions (direct):
Cr 0.5000 0.5000 0.5000
P 0.0000 0.5000 0.0000
P 0.5000 0.0000 0.0000
Ag 0.0000 0.0000 0.0000
Cl 0.0000 0.0000 0.5000

Values from the calculation:
Symmetry ... No. 123
DOS(E_F) ... 6.038 states/eV/f.u.
Relative energy among the computed polymorphs ... 1183 meV per atom
Formation energy (no corrections) ... 1.487 eV per atom
Volume ... 22.33 A^3/atom


[7]
Density functional theory data (PBE) for an optimized crystal structure of NbCuMo.

abc: 3.4708 4.3166 12.4693
angles: 90.00 90.00 90.00
Positions (direct):
Mo 0.5000 0.0000 0.7530
Mo 0.5000 0.5000 0.2530
Mo 0.0000 0.0000 0.5935
Mo 0.0000 0.5000 0.0935
Nb 0.0000 0.0000 0.9100
Nb 0.0000 0.5000 0.4100
Nb 0.5000 0.0000 0.0827
Nb 0.5000 0.5000 0.5827
Cu 0.5000 0.0000 0.4154
Cu 0.5000 0.5000 0.9154
Cu 0.0000 0.0000 0.2581
Cu 0.0000 0.5000 0.7581

Values from the calculation:
Symmetry ... No. 38
DOS(E_F) ... 2.433 states/eV/f.u.
Relative energy among the computed polymorphs ... 55 meV per atom
Volume ... 15.57 A^3/atom
DFT formation energy ... 166 meV per atom


Number 1: electronic total energy -90.01 eV/cell. Number 2: electronic total energy -21.98 eV/cell. Number 3: electronic total energy -27.75 eV/cell. Number 4: electronic total energy -37.79 eV/cell. Number 5: electronic total energy -89.48 eV/cell. Number 6: electronic total energy -17.70 eV/cell. Number 7: electronic total energy -97.99 eV/cell.